# 1
Li3Au4 | PBE | relaxed

abc: 4.5486 4.5486 6.9989
angles: 70.83 70.83 59.99
Last column: nearest neighbours and their distance in Å.
Positions (direct):
1 Li 0.0000 0.0000 0.0000  2 Au 2.62, 6 Li 2.86-2.87
2 Li 0.7254 0.7254 0.8235  5 Au 2.65-2.71, 3 Li 2.86-2.87
3 Li 0.2746 0.2746 0.1765  5 Au 2.65-2.71, 3 Li 2.86-2.87
4 Au 0.4121 0.4121 0.7621  4 Li 2.65-2.68, 3 Au 2.84
5 Au 0.5879 0.5879 0.2379  4 Li 2.65-2.68, 3 Au 2.84
6 Au 0.8651 0.8651 0.4051  2 Li 2.62-2.71, 6 Au 2.84-2.90
7 Au 0.1349 0.1349 0.5949  2 Li 2.62-2.71, 6 Au 2.84-2.90

***

# 2
Li5Au | PBE | relaxed

abc: 3.3209 3.3209 9.6286
angles: 90.00 90.00 90.00
Last column: nearest neighbours and their distance in Å.
Positions (direct):
1 Li 0.5000 0.5000 0.3107  8 Li 2.88-2.97, 1 Au 2.99
2 Li 0.0000 0.0000 0.5000  12 Li 2.97-3.32
3 Li 0.0000 0.0000 0.8617  5 Li 2.66-2.88, 4 Au 2.70
4 Li 0.5000 0.5000 0.6893  8 Li 2.88-2.97, 1 Au 2.99
5 Li 0.0000 0.0000 0.1383  5 Li 2.66-2.88, 4 Au 2.70
6 Au 0.5000 0.5000 0.0000  10 Li 2.70-2.99

***

# 3
LiAu3 | PBE | relaxed

abc: 2.9043 2.9043 9.3306
angles: 90.00 90.00 120.00
Last column: nearest neighbours and their distance in Å.
Positions (direct):
1 Au 0.6667 0.3333 0.2500  12 Au 2.90-3.05
2 Au 0.0000 0.0000 0.9775  3 Li 2.71, 6 Au 2.90
3 Au 0.0000 0.0000 0.5225  3 Li 2.71, 6 Au 2.90
4 Li 0.6667 0.3333 0.7500  6 Au 2.71, 6 Li 2.90

***

# 4
Li5Au4 | PBE | relaxed

abc: 7.8205 7.8205 5.4765
angles: 90.00 90.00 120.00
Last column: nearest neighbours and their distance in Å.
Positions (direct):
1 Li 0.3333 0.6667 0.0000  2 Li 2.74, 6 Au 2.81
2 Li 0.2937 0.0000 0.7500  7 Au 2.56-2.82
3 Li 0.6667 0.3333 0.5000  2 Li 2.74, 6 Au 2.81
4 Li 0.7063 0.0000 0.2500  7 Au 2.56-2.82
5 Li 0.3333 0.6667 0.5000  2 Li 2.74, 6 Au 2.81
6 Li 0.0000 0.7063 0.2500  7 Au 2.56-2.82
7 Li 0.2937 0.2937 0.2500  7 Au 2.56-2.82
8 Li 0.0000 0.2937 0.7500  7 Au 2.56-2.82
9 Li 0.6667 0.3333 0.0000  2 Li 2.74, 6 Au 2.81
10 Li 0.7063 0.7063 0.7500  7 Au 2.56-2.82
11 Au 0.0000 0.0000 0.0000  6 Li 2.67, 2 Au 2.74
12 Au 0.0000 0.6217 0.7500  9 Li 2.56-2.82
13 Au 0.6217 0.6217 0.2500  9 Li 2.56-2.82
14 Au 0.0000 0.3783 0.2500  9 Li 2.56-2.82
15 Au 0.6217 0.0000 0.7500  9 Li 2.56-2.82
16 Au 0.0000 0.0000 0.5000  6 Li 2.67, 2 Au 2.74
17 Au 0.3783 0.3783 0.7500  9 Li 2.56-2.82
18 Au 0.3783 0.0000 0.2500  9 Li 2.56-2.82

***

# 5
LiAu4 | PBE | relaxed

abc: 4.9630 4.9630 4.9630
angles: 109.47 109.47 109.47
Last column: nearest neighbours and their distance in Å.
Positions (direct):
1 Au 0.0000 0.0000 0.5000  2 Li 2.48
2 Au 0.0000 0.5000 0.0000  2 Li 2.48
3 Au 0.5000 0.5000 0.5000  2 Li 2.48
4 Au 0.5000 0.0000 0.0000  2 Li 2.48
5 Li 0.0000 0.0000 0.0000  8 Au 2.48

***

# 6
Li2Au | PBE | relaxed

abc: 4.2165 5.4636 8.0942
angles: 90.00 90.00 90.00
Last column: nearest neighbours and their distance in Å.
Positions (direct):
1 Li 0.7500 0.3377 0.9214  5 Au 2.68-2.74, 5 Li 2.76-2.87
2 Li 0.2500 0.0758 0.7574  5 Au 2.72-2.89, 7 Li 2.73-2.87
3 Li 0.2500 0.5758 0.7426  5 Au 2.72-2.89, 7 Li 2.73-2.87
4 Li 0.7500 0.4242 0.2574  5 Au 2.72-2.89, 7 Li 2.73-2.87
5 Li 0.2500 0.6623 0.0786  5 Au 2.68-2.74, 5 Li 2.76-2.87
6 Li 0.7500 0.9242 0.2426  5 Au 2.72-2.89, 7 Li 2.73-2.87
7 Li 0.2500 0.1623 0.4214  5 Au 2.68-2.74, 5 Li 2.76-2.87
8 Li 0.7500 0.8377 0.5786  5 Au 2.68-2.74, 5 Li 2.76-2.87
9 Au 0.2500 0.6638 0.4121  10 Li 2.68-2.89
10 Au 0.7500 0.3362 0.5879  10 Li 2.68-2.89
11 Au 0.7500 0.8362 0.9121  10 Li 2.68-2.89
12 Au 0.2500 0.1638 0.0879  10 Li 2.68-2.89

***

# 7
Li2Au5 | PBE | relaxed

abc: 4.9356 7.5301 6.8569
angles: 92.65 111.09 90.00
Last column: nearest neighbours and their distance in Å.
Positions (direct):
1 Au 0.0399 0.0385 0.7299  4 Li 2.79-2.86, 8 Au 2.84-3.06
2 Au 0.1792 0.7500 0.0000  6 Au 2.84-2.88, 6 Li 2.88-2.89
3 Au 0.3099 0.4615 0.2701  4 Li 2.79-2.86, 8 Au 2.84-3.06
4 Au 0.9601 0.9615 0.2701  4 Li 2.79-2.86, 8 Au 2.84-3.06
5 Au 0.4543 0.1800 0.5763  3 Li 2.82-2.88, 9 Au 2.84-3.01
6 Au 0.8780 0.3200 0.4237  3 Li 2.82-2.88, 9 Au 2.84-3.01
7 Au 0.5457 0.8200 0.4237  3 Li 2.82-2.88, 9 Au 2.84-3.01
8 Au 0.8208 0.2500 0.0000  6 Au 2.84-2.88, 6 Li 2.88-2.89
9 Au 0.1220 0.6800 0.5763  3 Li 2.82-2.88, 9 Au 2.84-3.01
10 Au 0.6901 0.5385 0.7299  4 Li 2.79-2.86, 8 Au 2.84-3.06
11 Li 0.3974 0.1035 0.1524  10 Au 2.79-2.89, 2 Li 3.01-3.02
12 Li 0.2450 0.3965 0.8476  10 Au 2.79-2.89, 2 Li 3.01-3.02
13 Li 0.6026 0.8965 0.8476  10 Au 2.79-2.89, 2 Li 3.01-3.02
14 Li 0.7550 0.6035 0.1524  10 Au 2.79-2.89, 2 Li 3.01-3.02

***

# 8
Li2Au7 | PBE | relaxed

abc: 5.5178 5.5178 14.2697
angles: 78.85 78.85 60.00
Last column: nearest neighbours and their distance in Å.
Positions (direct):
1 Au 0.6152 0.6152 0.6604  7 Au 2.73-2.87
2 Au 0.5000 0.0000 0.0000  8 Au 2.76-2.85
3 Au 0.1092 0.6152 0.6604  7 Au 2.73-2.87
4 Au 0.6102 0.6102 0.1693  6 Au 2.84-2.87
5 Au 0.3848 0.8908 0.3396  7 Au 2.73-2.87
6 Au 0.3898 0.3898 0.8307  6 Au 2.84-2.87
7 Au 0.8908 0.3848 0.3396  7 Au 2.73-2.87
8 Au 0.0000 0.5000 0.0000  8 Au 2.76-2.85
9 Au 0.7233 0.7233 0.8302  6 Au 2.84-2.85
10 Au 0.3848 0.3848 0.3396  7 Au 2.73-2.87
11 Au 0.2767 0.2767 0.1698  6 Au 2.84-2.85
12 Au 0.6152 0.1092 0.6604  7 Au 2.73-2.87
13 Au 0.5000 0.5000 0.5000  6 Au 2.75
14 Au 0.5000 0.5000 0.0000  8 Au 2.76-2.85
15 Li 0.9494 0.9494 0.1519  12 Au 3.19-3.47
16 Li 0.8481 0.8481 0.4558  12 Au 3.20-3.25, 3 Li 3.41
17 Li 0.0506 0.0506 0.8481  12 Au 3.19-3.47
18 Li 0.1519 0.1519 0.5442  12 Au 3.20-3.25, 3 Li 3.41

***

# 9
LiAu3 | PBE | relaxed

abc: 5.6449 5.6449 4.9196
angles: 90.00 90.00 120.00
Last column: nearest neighbours and their distance in Å.
Positions (direct):
1 Au 0.8318 0.6636 0.7500  8 Au 2.80-2.96, 4 Li 2.82-2.94
2 Au 0.6636 0.8318 0.2500  8 Au 2.80-2.96, 4 Li 2.82-2.94
3 Au 0.1682 0.8318 0.2500  8 Au 2.80-2.96, 4 Li 2.82-2.94
4 Au 0.8318 0.1682 0.7500  8 Au 2.80-2.96, 4 Li 2.82-2.94
5 Au 0.3364 0.1682 0.7500  8 Au 2.80-2.96, 4 Li 2.82-2.94
6 Au 0.1682 0.3364 0.2500  8 Au 2.80-2.96, 4 Li 2.82-2.94
7 Li 0.3333 0.6667 0.7500  12 Au 2.82-2.94
8 Li 0.6667 0.3333 0.2500  12 Au 2.82-2.94

***

# 10
Li2Au | PBE | relaxed

abc: 4.4975 4.4975 5.4127
angles: 90.00 90.00 120.00
Last column: nearest neighbours and their distance in Å.
Positions (direct):
1 Li 0.6667 0.3333 0.7500  5 Au 2.60-2.71
2 Li 0.3333 0.6667 0.2500  5 Au 2.60-2.71
3 Li 0.0000 0.0000 0.5000  8 Li 2.71-2.93, 6 Au 2.93
4 Li 0.0000 0.0000 0.0000  8 Li 2.71-2.93, 6 Au 2.93
5 Au 0.3333 0.6667 0.7500  5 Li 2.60-2.71
6 Au 0.6667 0.3333 0.2500  5 Li 2.60-2.71

***

# 11
Li3Au4 | PBE | relaxed

abc: 10.3390 10.3390 10.3390
angles: 161.13 161.13 26.81
Last column: nearest neighbours and their distance in Å.
Positions (direct):
1 Au 0.5693 0.5693 0.0000  5 Li 2.77-2.83, 5 Au 2.79-2.92
2 Au 0.4307 0.4307 0.0000  5 Li 2.77-2.83, 5 Au 2.79-2.92
3 Au 0.1519 0.1519 0.0000  5 Li 2.67-2.78, 4 Au 2.92
4 Au 0.8481 0.8481 0.0000  5 Li 2.67-2.78, 4 Au 2.92
5 Li 0.2900 0.2900 0.0000  6 Au 2.67-2.83, 4 Li 2.89
6 Li 0.7100 0.7100 0.0000  6 Au 2.67-2.83, 4 Li 2.89
7 Li 0.0000 0.0000 0.0000  10 Au 2.77-3.05

***

# 12
Li3Au2 | PBE | relaxed

abc: 4.4319 4.4319 5.3549
angles: 90.00 90.00 120.00
Last column: nearest neighbours and their distance in Å.
Positions (direct):
1 Li 0.3333 0.6667 0.3584  5 Au 2.65-2.80
2 Li 0.6667 0.3333 0.6416  5 Au 2.65-2.80
3 Li 0.0000 0.0000 0.0000  6 Au 2.68
4 Au 0.6667 0.3333 0.1467  8 Li 2.65-2.80
5 Au 0.3333 0.6667 0.8533  8 Li 2.65-2.80

***

no.,calculated formation energy (meV/atom),size of the total moment (Bohr magnetons per cell)
1,-400,0.0
2,-217,0.0
3,-218,0.0
4,-467,0.0
5,9,0.0
6,-464,0.0
7,-342,0.0
8,-212,0.0
9,-342,0.0
10,-450,0.0
11,-379,0.0
12,-438,0.0